A geometry-optimized CaCoSiO4 structure. Source: Alexandria via LeMat-Bulk, functional PBE+U.

* spin magnetization: 3.0 μB per formula unit
* calculated volume: 87 Å³/f.u.
* VASP energy: -196.5 eV for the cell shown

Geometry as CIF:
```
data_CaCoSiO4
_space_group_name_H-M_alt 'C m c m'
_space_group_IT_number 63
_space_group_name_Hall '-C 2c 2'
_cell_length_a 6.0249
_cell_length_b 9.0973
_cell_length_c 6.3715
_cell_angle_alpha 90.00
_cell_angle_beta 90.00
_cell_angle_gamma 90.00
loop_
_atom_site_label
_atom_site_type_symbol
_atom_site_fract_x
_atom_site_fract_y
_atom_site_fract_z
Ca1 Ca 0.0000 0.0000 0.0000
Co1 Co 0.0000 0.3466 0.2500
Si1 Si 0.0000 0.3583 0.7500
O1 O 0.0000 0.2570 0.5368
O2 O 0.2143 0.4761 0.7500
```

---

A geometry-optimized CaCo2Si4O12 structure. Source: Alexandria via LeMat-Bulk, functional PBE+U.

* spin magnetization: 7.9 μB per formula unit
* calculated volume: 219 Å³/f.u.
* VASP energy: -274.2 eV for the cell shown

Geometry as CIF:
```
data_CaCo2Si4O12
_space_group_name_H-M_alt 'C 1 2 1'
_space_group_IT_number 5
_space_group_name_Hall 'C 2y'
_cell_length_a 9.7314
_cell_length_b 8.8775
_cell_length_c 5.3201
_cell_angle_alpha 90.00
_cell_angle_beta 107.26
_cell_angle_gamma 90.00
loop_
_atom_site_label
_atom_site_type_symbol
_atom_site_fract_x
_atom_site_fract_y
_atom_site_fract_z
Ca1 Ca 0.0000 0.0000 0.0000
Co1 Co 0.0000 0.2102 0.5000
Co2 Co 0.0000 0.4118 0.0000
Si1 Si 0.2089 0.7095 0.0197
Si2 Si 0.2097 0.8890 0.5265
O1 O 0.1138 0.2157 0.8881
O2 O 0.1140 0.3726 0.3772
O3 O 0.1338 0.0527 0.4420
O4 O 0.1455 0.8165 0.7546
O5 O 0.1485 0.5405 0.9627
O6 O 0.1497 0.7959 0.2428
```